i) DFT (PBE-GGA) results for crystalline PaTeS2 at its relaxed geometry.

Cell: 3.5056 3.5056 27.8597 Å, 90.00 90.00 120.00°
Closest atoms and distances in Å follow each position.
Fractional coordinates of all 12 atoms:
Pa: 0.0000 0.0000 0.0000  2 S 2.52
Pa: 0.3333 0.6667 0.6667  2 S 2.52
Pa: 0.6667 0.3333 0.3333  2 S 2.52
Te: 0.0000 0.0000 0.5000  6 S 2.93
Te: 0.3333 0.6667 0.1667  6 S 2.93
Te: 0.6667 0.3333 0.8333  6 S 2.93
S: 0.0000 0.0000 0.0905  1 Pa 2.52
S: 0.0000 0.0000 0.9095  1 Pa 2.52
S: 0.3333 0.6667 0.5761  1 Pa 2.52
S: 0.3333 0.6667 0.7572  1 Pa 2.52
S: 0.6667 0.3333 0.2428  1 Pa 2.52
S: 0.6667 0.3333 0.4239  1 Pa 2.52

Results
M_tot	0.15	μB/atom
density of states at the Fermi level	1.2564	states/eV/atom
volume	296.5	Å³/cell
SG	R-3m


ii) DFT (PBE-GGA) results for crystalline PaTeS2 at its relaxed geometry.

Cell: 3.3895 3.3895 8.1715 Å, 90.00 90.00 90.00°
Closest atoms and distances in Å follow each position.
Fractional coordinates of all 4 atoms:
Pa: 0.0000 0.0000 0.0000  8 S 2.81
Te: 0.0000 0.0000 0.5000  4 Te 3.39, 8 S 3.55
S: 0.5000 0.5000 0.1800  4 Pa 2.81, 1 S 2.94
S: 0.5000 0.5000 0.8200  4 Pa 2.81, 1 S 2.94

Results
M_tot	0.00	μB/atom
density of states at the Fermi level	0.3594	states/eV/atom
volume	93.9	Å³/cell
SG	P4/mmm


iii) DFT (PBE-GGA) results for crystalline PaTeS2 at its relaxed geometry.

Cell: 4.2336 7.7890 6.1200 Å, 90.00 110.16 90.00°
Closest atoms and distances in Å follow each position.
Fractional coordinates of all 8 atoms:
Pa: 0.2305 0.2500 0.4601  6 S 2.75
Pa: 0.7695 0.7500 0.5399  6 S 2.75
Te: 0.0566 0.7500 0.1128  3 Pa 3.24-3.29, 8 S 3.37-3.53
Te: 0.9434 0.2500 0.8872  3 Pa 3.24-3.29, 8 S 3.37-3.53
S: 0.3482 0.5568 0.6971  3 Pa 2.75, 1 S 3.01
S: 0.3482 0.9432 0.6971  3 Pa 2.75, 1 S 3.01
S: 0.6518 0.0568 0.3029  3 Pa 2.75, 1 S 3.01
S: 0.6518 0.4432 0.3029  3 Pa 2.75, 1 S 3.01

Results
M_tot	0.00	μB/atom
density of states at the Fermi level	0.7252	states/eV/atom
volume	189.4	Å³/cell
SG	P2_1/m


iv) DFT (PBE-GGA) results for crystalline PaTeS2 at its relaxed geometry.

Cell: 4.2327 4.2327 23.9909 Å, 90.00 90.00 120.00°
Closest atoms and distances in Å follow each position.
Fractional coordinates of all 12 atoms:
Pa: 0.0000 0.0000 0.0000  6 S 2.64-2.77
Pa: 0.3333 0.6667 0.6667  6 S 2.64-2.77
Pa: 0.6667 0.3333 0.3333  6 S 2.64-2.77
Te: 0.0000 0.0000 0.8684  1 Pa 3.16, 3 S 3.26
Te: 0.3333 0.6667 0.5351  1 Pa 3.16, 3 S 3.26
Te: 0.6667 0.3333 0.2017  1 Pa 3.16, 3 S 3.26
S: 0.0000 0.0000 0.3876  3 Pa 2.77
S: 0.0000 0.0000 0.6253  3 Pa 2.64
S: 0.3333 0.6667 0.0542  3 Pa 2.77
S: 0.3333 0.6667 0.2919  3 Pa 2.64
S: 0.6667 0.3333 0.7209  3 Pa 2.77
S: 0.6667 0.3333 0.9586  3 Pa 2.64

Results
M_tot	0.26	μB/atom
density of states at the Fermi level	0.7076	states/eV/atom
volume	372.2	Å³/cell
SG	R3m


Pick iii): it beats the second-best structure by 0.108 eV/atom.


i) DFT (PBE-GGA) results for crystalline PaTeS at its relaxed geometry.

Cell: 3.6806 3.6806 10.6675 Å, 90.00 90.00 90.00°
Closest atoms and distances in Å follow each position.
Fractional coordinates of all 6 atoms:
Pa: 0.0000 0.0000 0.0000  4 S 2.83
Pa: 0.5000 0.5000 0.5000  4 S 2.83
Te: 0.0000 0.0000 0.3191  1 S 3.04, 5 Pa 3.24-3.40
Te: 0.5000 0.5000 0.8191  1 S 3.04, 5 Pa 3.24-3.40
S: 0.0000 0.0000 0.6045  4 Pa 2.83, 1 Te 3.04
S: 0.5000 0.5000 0.1045  4 Pa 2.83, 1 Te 3.04

Results
M_tot	0.13	μB/atom
density of states at the Fermi level	1.0611	states/eV/atom
volume	144.5	Å³/cell
SG	I4mm


ii) DFT (PBE-GGA) results for crystalline PaTeS at its relaxed geometry.

Cell: 7.0149 7.0149 7.0149 Å, 90.00 90.00 90.00°
Closest atoms and distances in Å follow each position.
Fractional coordinates of all 12 atoms:
Pa: 0.0000 0.0000 0.0000  4 Te 3.04, 4 S 3.04
Pa: 0.0000 0.5000 0.5000  4 Te 3.04, 4 S 3.04
Pa: 0.5000 0.0000 0.5000  4 Te 3.04, 4 S 3.04
Pa: 0.5000 0.5000 0.0000  4 Te 3.04, 4 S 3.04
Te: 0.2500 0.2500 0.7500  4 Pa 3.04
Te: 0.2500 0.7500 0.2500  4 Pa 3.04
Te: 0.7500 0.2500 0.2500  4 Pa 3.04
Te: 0.7500 0.7500 0.7500  4 Pa 3.04
S: 0.2500 0.2500 0.2500  4 Pa 3.04
S: 0.2500 0.7500 0.7500  4 Pa 3.04
S: 0.7500 0.2500 0.7500  4 Pa 3.04
S: 0.7500 0.7500 0.2500  4 Pa 3.04

Results
M_tot	0.34	μB/atom
density of states at the Fermi level	2.0697	states/eV/atom
volume	345.2	Å³/cell
SG	F-43m


Pick i): it beats the second-best structure by 0.181 eV/atom.


i) DFT (PBE-GGA) results for crystalline ThPaS2 at its relaxed geometry.

Cell: 3.7621 3.7621 22.0981 Å, 90.00 90.00 120.00°
Closest atoms and distances in Å follow each position.
Fractional coordinates of all 12 atoms:
Th: 0.0000 0.0000 0.0000  6 S 2.84-2.92
Th: 0.3333 0.6667 0.6667  6 S 2.84-2.92
Th: 0.6667 0.3333 0.3333  6 S 2.84-2.92
Pa: 0.0000 0.0000 0.1732  6 S 2.77-2.87
Pa: 0.3333 0.6667 0.8399  6 S 2.77-2.87
Pa: 0.6667 0.3333 0.5066  6 S 2.77-2.87
S: 0.0000 0.0000 0.4218  3 Pa 2.87, 3 Th 2.92
S: 0.0000 0.0000 0.5841  3 Pa 2.77, 3 Th 2.84
S: 0.3333 0.6667 0.0885  3 Pa 2.87, 3 Th 2.92
S: 0.3333 0.6667 0.2508  3 Pa 2.77, 3 Th 2.84
S: 0.6667 0.3333 0.7552  3 Pa 2.87, 3 Th 2.92
S: 0.6667 0.3333 0.9174  3 Pa 2.77, 3 Th 2.84

Results
M_tot	0.07	μB/atom
density of states at the Fermi level	1.1960	states/eV/atom
volume	270.9	Å³/cell
SG	R3m


ii) DFT (PBE-GGA) results for crystalline ThPaS2 at its relaxed geometry.

Cell: 3.4612 3.4612 6.9453 Å, 90.00 90.00 90.00°
Closest atoms and distances in Å follow each position.
Fractional coordinates of all 4 atoms:
Th: 0.0000 0.0000 0.0000  8 S 3.04
Pa: 0.0000 0.0000 0.5000  8 S 2.96
S: 0.5000 0.5000 0.2595  4 Pa 2.96, 4 Th 3.04
S: 0.5000 0.5000 0.7405  4 Pa 2.96, 4 Th 3.04

Results
M_tot	0.00	μB/atom
density of states at the Fermi level	1.4457	states/eV/atom
volume	83.2	Å³/cell
SG	P4/mmm


Pick i): it beats the second-best structure by 0.267 eV/atom.


i) DFT (PBE-GGA) results for crystalline ThPaS2 at its relaxed geometry.

Cell: 3.7372 3.7372 26.8081 Å, 90.00 90.00 120.00°
Closest atoms and distances in Å follow each position.
Fractional coordinates of all 12 atoms:
Th: 0.0000 0.0000 0.0000  6 S 2.84
Th: 0.3333 0.6667 0.6667  6 S 2.84
Th: 0.6667 0.3333 0.3333  6 S 2.84
Pa: 0.0000 0.0000 0.5000  2 S 2.62
Pa: 0.3333 0.6667 0.1667  2 S 2.62
Pa: 0.6667 0.3333 0.8333  2 S 2.62
S: 0.0000 0.0000 0.4023  1 Pa 2.62, 3 Th 2.84
S: 0.0000 0.0000 0.5977  1 Pa 2.62, 3 Th 2.84
S: 0.3333 0.6667 0.0690  1 Pa 2.62, 3 Th 2.84
S: 0.3333 0.6667 0.2643  1 Pa 2.62, 3 Th 2.84
S: 0.6667 0.3333 0.7357  1 Pa 2.62, 3 Th 2.84
S: 0.6667 0.3333 0.9310  1 Pa 2.62, 3 Th 2.84

Results
M_tot	0.00	μB/atom
density of states at the Fermi level	0.9824	states/eV/atom
volume	324.3	Å³/cell
SG	R-3m


ii) DFT (PBE-GGA) results for crystalline ThPaS2 at its relaxed geometry.

Cell: 6.9347 6.9347 6.9347 Å, 90.00 90.00 90.00°
Closest atoms and distances in Å follow each position.
Fractional coordinates of all 16 atoms:
Th: 0.0000 0.0000 0.0000  8 S 3.00
Th: 0.0000 0.5000 0.5000  8 S 3.00
Th: 0.5000 0.0000 0.5000  8 S 3.00
Th: 0.5000 0.5000 0.0000  8 S 3.00
Pa: 0.0000 0.0000 0.5000  8 S 3.00
Pa: 0.0000 0.5000 0.0000  8 S 3.00
Pa: 0.5000 0.0000 0.0000  8 S 3.00
Pa: 0.5000 0.5000 0.5000  8 S 3.00
S: 0.2500 0.2500 0.2500  4 Th 3.00, 4 Pa 3.00
S: 0.2500 0.2500 0.7500  4 Th 3.00, 4 Pa 3.00
S: 0.2500 0.7500 0.2500  4 Th 3.00, 4 Pa 3.00
S: 0.2500 0.7500 0.7500  4 Th 3.00, 4 Pa 3.00
S: 0.7500 0.2500 0.2500  4 Th 3.00, 4 Pa 3.00
S: 0.7500 0.2500 0.7500  4 Th 3.00, 4 Pa 3.00
S: 0.7500 0.7500 0.2500  4 Th 3.00, 4 Pa 3.00
S: 0.7500 0.7500 0.7500  4 Th 3.00, 4 Pa 3.00

Results
M_tot	0.01	μB/atom
density of states at the Fermi level	1.4262	states/eV/atom
volume	333.5	Å³/cell
SG	Fm-3m


Pick ii): it beats the second-best structure by 0.245 eV/atom.


i) DFT (PBE-GGA) results for crystalline ThPaS4 at its relaxed geometry.

Cell: 3.6737 3.6737 8.7679 Å, 90.00 90.00 90.00°
Closest atoms and distances in Å follow each position.
Fractional coordinates of all 6 atoms:
Th: 0.0000 0.0000 0.0000  10 S 2.96-3.05
Pa: 0.5000 0.5000 0.5000  10 S 2.92-2.97
S: 0.0000 0.0000 0.3479  1 S 2.67, 4 Pa 2.92
S: 0.0000 0.0000 0.6521  1 S 2.67, 4 Pa 2.92
S: 0.5000 0.5000 0.1618  5 S 2.84-3.07, 4 Th 2.96, 1 Pa 2.97
S: 0.5000 0.5000 0.8382  5 S 2.84-3.07, 4 Th 2.96, 1 Pa 2.97

Results
M_tot	0.00	μB/atom
density of states at the Fermi level	0.3989	states/eV/atom
volume	118.3	Å³/cell
SG	P4/mmm


ii) DFT (PBE-GGA) results for crystalline ThPaS4 at its relaxed geometry.

Cell: 4.6651 4.6651 6.6117 Å, 90.00 90.00 90.00°
Closest atoms and distances in Å follow each position.
Fractional coordinates of all 6 atoms:
Th: 0.0000 0.0000 0.0000  8 S 2.88
Pa: 0.5000 0.5000 0.5000  8 S 2.84
S: 0.0000 0.5000 0.2546  2 Pa 2.84, 2 Th 2.88
S: 0.0000 0.5000 0.7454  2 Pa 2.84, 2 Th 2.88
S: 0.5000 0.0000 0.2546  2 Pa 2.84, 2 Th 2.88
S: 0.5000 0.0000 0.7454  2 Pa 2.84, 2 Th 2.88

Results
M_tot	0.17	μB/atom
density of states at the Fermi level	0.9298	states/eV/atom
volume	143.9	Å³/cell
SG	P4/mmm


Pick ii): it beats the second-best structure by 0.167 eV/atom.


i) DFT (PBE-GGA) results for crystalline Pa2TiS6 at its relaxed geometry.

Cell: 6.2278 6.2278 11.5408 Å, 90.00 90.00 90.00°
Closest atoms and distances in Å follow each position.
Fractional coordinates of all 18 atoms:
Pa: 0.0000 0.0000 0.1731  6 S 2.65-2.69
Pa: 0.0000 0.0000 0.8269  6 S 2.65-2.69
Pa: 0.5000 0.5000 0.3269  6 S 2.65-2.69
Pa: 0.5000 0.5000 0.6731  6 S 2.65-2.69
Ti: 0.0000 0.0000 0.5000  6 S 2.46-2.62
Ti: 0.5000 0.5000 0.0000  6 S 2.46-2.62
S: 0.1958 0.1958 0.3475  1 Ti 2.46, 2 Pa 2.65-2.69
S: 0.1958 0.1958 0.6525  1 Ti 2.46, 2 Pa 2.65-2.69
S: 0.2023 0.2023 0.0000  1 Ti 2.62, 2 Pa 2.68
S: 0.2977 0.7023 0.5000  1 Ti 2.62, 2 Pa 2.68
S: 0.3042 0.6958 0.1525  1 Ti 2.46, 2 Pa 2.65-2.69
S: 0.3042 0.6958 0.8475  1 Ti 2.46, 2 Pa 2.65-2.69
S: 0.6958 0.3042 0.1525  1 Ti 2.46, 2 Pa 2.65-2.69
S: 0.6958 0.3042 0.8475  1 Ti 2.46, 2 Pa 2.65-2.69
S: 0.7023 0.2977 0.5000  1 Ti 2.62, 2 Pa 2.68
S: 0.7977 0.7977 0.0000  1 Ti 2.62, 2 Pa 2.68
S: 0.8042 0.8042 0.3475  1 Ti 2.46, 2 Pa 2.65-2.69
S: 0.8042 0.8042 0.6525  1 Ti 2.46, 2 Pa 2.65-2.69

Results
M_tot	0.23	μB/atom
density of states at the Fermi level	0.7686	states/eV/atom
volume	447.6	Å³/cell
SG	P4_2/mnm


ii) DFT (PBE-GGA) results for crystalline Pa2TiS6 at its relaxed geometry.

Cell: 6.0888 7.0772 10.4015 Å, 90.00 124.70 90.00°
Closest atoms and distances in Å follow each position.
Fractional coordinates of all 18 atoms:
Pa: 0.2091 0.1253 0.2525  8 S 2.65-2.96
Pa: 0.2091 0.3747 0.7525  8 S 2.65-2.96
Pa: 0.7909 0.6253 0.2475  8 S 2.65-2.96
Pa: 0.7909 0.8747 0.7475  8 S 2.65-2.96
Ti: 0.5000 0.0000 0.0000  6 S 2.41-2.45
Ti: 0.5000 0.5000 0.5000  6 S 2.41-2.45
S: 0.1021 0.1714 0.9396  1 Ti 2.45
S: 0.1021 0.3286 0.4396  1 Ti 2.45
S: 0.2865 0.6881 0.9377  1 Ti 2.45
S: 0.2865 0.8119 0.4377  1 Ti 2.45
S: 0.3764 0.0365 0.7359  1 Ti 2.41, 1 Pa 2.65
S: 0.3764 0.4635 0.2359  1 Ti 2.41, 1 Pa 2.65
S: 0.6236 0.5365 0.7641  1 Ti 2.41, 1 Pa 2.65
S: 0.6236 0.9635 0.2641  1 Ti 2.41, 1 Pa 2.65
S: 0.7135 0.1881 0.5623  1 Ti 2.45
S: 0.7135 0.3119 0.0623  1 Ti 2.45
S: 0.8979 0.6714 0.5604  1 Ti 2.45
S: 0.8979 0.8286 0.0604  1 Ti 2.45

Results
M_tot	0.00	μB/atom
density of states at the Fermi level	0.6406	states/eV/atom
volume	368.5	Å³/cell
SG	P2_1/c


Pick ii): it beats the second-best structure by 0.143 eV/atom.


i) DFT (PBE-GGA) results for crystalline PaTiS3 at its relaxed geometry.

Cell: 7.4119 7.4119 4.6138 Å, 90.00 90.00 129.34°
Closest atoms and distances in Å follow each position.
Fractional coordinates of all 10 atoms:
Pa: 0.1601 0.8399 0.0000  5 S 2.78-3.05
Pa: 0.8399 0.1601 0.0000  5 S 2.78-3.05
Ti: 0.3876 0.6124 0.5000  6 S 2.32-2.43
Ti: 0.6124 0.3876 0.5000  6 S 2.32-2.43
S: 0.0000 0.5000 0.5000  2 Ti 2.43
S: 0.2120 0.2120 0.5000  2 Ti 2.37
S: 0.3678 0.6322 0.0000  2 Ti 2.32
S: 0.5000 0.0000 0.5000  2 Ti 2.43
S: 0.6322 0.3678 0.0000  2 Ti 2.32
S: 0.7880 0.7880 0.5000  2 Ti 2.37

Results
M_tot	0.38	μB/atom
density of states at the Fermi level	1.1171	states/eV/atom
volume	196.0	Å³/cell
SG	Cmmm


ii) DFT (PBE-GGA) results for crystalline PaTiS3 at its relaxed geometry.

Cell: 7.0581 3.6648 7.4799 Å, 90.00 95.99 90.00°
Closest atoms and distances in Å follow each position.
Fractional coordinates of all 10 atoms:
Pa: 0.1311 0.2500 0.2709  8 S 2.78-2.86
Pa: 0.8689 0.7500 0.7291  8 S 2.78-2.86
Ti: 0.3703 0.7500 0.8670  6 S 2.45-2.55
Ti: 0.6297 0.2500 0.1330  6 S 2.45-2.55
S: 0.1296 0.2500 0.8884  2 Ti 2.52, 2 Pa 2.78
S: 0.2028 0.7500 0.5486  1 Ti 2.55, 3 Pa 2.78-2.84
S: 0.4154 0.7500 0.1965  3 Ti 2.45
S: 0.5846 0.2500 0.8035  3 Ti 2.45
S: 0.7972 0.2500 0.4514  1 Ti 2.55, 3 Pa 2.78-2.84
S: 0.8704 0.7500 0.1116  2 Ti 2.52, 2 Pa 2.78

Results
M_tot	0.06	μB/atom
density of states at the Fermi level	0.9533	states/eV/atom
volume	192.4	Å³/cell
SG	P2_1/m


Pick ii): it beats the second-best structure by 0.379 eV/atom.


i) DFT (PBE-GGA) results for crystalline PaTlS3 at its relaxed geometry.

Cell: 5.2515 5.2515 5.2515 Å, 90.00 90.00 90.00°
Closest atoms and distances in Å follow each position.
Fractional coordinates of all 5 atoms:
Pa: 0.0000 0.0000 0.0000  6 S 2.63
Tl: 0.5000 0.5000 0.5000  12 S 3.71
S: 0.0000 0.0000 0.5000  2 Pa 2.63
S: 0.0000 0.5000 0.0000  2 Pa 2.63
S: 0.5000 0.0000 0.0000  2 Pa 2.63

Results
M_tot	0.00	μB/atom
volume	144.8	Å³/cell
SG	Pm-3m


ii) DFT (PBE-GGA) results for crystalline PaTlS3 at its relaxed geometry.

Cell: 8.2184 8.2184 8.2184 Å, 51.20 51.20 51.20°
Closest atoms and distances in Å follow each position.
Fractional coordinates of all 10 atoms:
Pa: 0.1636 0.1636 0.1636  6 S 2.65-2.66
Pa: 0.8364 0.8364 0.8364  6 S 2.65-2.66
Tl: 0.3622 0.3622 0.3622  6 S 3.13-3.44
Tl: 0.6378 0.6378 0.6378  6 S 3.13-3.44
S: 0.0355 0.4367 0.8181  2 Pa 2.65-2.66
S: 0.1819 0.9645 0.5633  2 Pa 2.65-2.66
S: 0.4367 0.8181 0.0355  2 Pa 2.65-2.66
S: 0.5633 0.1819 0.9645  2 Pa 2.65-2.66
S: 0.8181 0.0355 0.4367  2 Pa 2.65-2.66
S: 0.9645 0.5633 0.1819  2 Pa 2.65-2.66

Results
M_tot	0.00	μB/atom
volume	311.1	Å³/cell
SG	R-3


Pick ii): it beats the second-best structure by 0.045 eV/atom.